[1]
This record from Alexandria describes crystalline LiNiAs2 at its relaxed geometry. The functional is PBE.

Cell lengths 4.7564, 4.6274, 4.6274 Å; angles 37.42, 90.00, 90.00 degrees
Last column: nearest neighbours and their distance in Å.
Fractional positions:
1 Li 0.0000 0.0000 0.0000  3 As 2.38-2.49
2 Ni 0.5000 0.1590 0.1590  5 As 2.39-2.57
3 As 0.0000 0.2714 0.2714  3 Li 2.38-2.49, 2 Ni 2.57
4 As 0.5000 0.4457 0.4457  3 Ni 2.39-2.51

Output
* energy above the most stable polymorph in this dataset: 147 meV/atom
* uncorrected energy: -4.438 eV per atom
* formation enthalpy at 0 K: -0.19 eV/atom

=====

[2]
This record from Alexandria describes crystalline Na2MgO at its relaxed geometry. The functional is PBE.

Cell lengths 6.9493, 6.9493, 6.9493 Å; angles 119.55, 119.55, 90.78 degrees
Last column: nearest neighbours and their distance in Å.
Fractional positions:
1 Na 0.3750 0.1464 0.2714  2 O 2.14
2 Na 0.8536 0.1250 0.2286  2 O 2.14
3 Na 0.8750 0.1036 0.7286  2 O 2.14
4 Na 0.8964 0.6250 0.7714  2 O 2.14
5 Mg 0.2500 0.7500 0.5000  12 Na 3.97-4.23, 4 O 4.27, 4 Mg 4.27
6 Mg 0.5000 0.5000 0.0000  12 Na 3.97-4.23, 4 O 4.27, 4 Mg 4.27
7 O 0.0000 0.0000 0.0000  4 Na 2.14
8 O 0.7500 0.2500 0.5000  4 Na 2.14

Output
* energy above the most stable polymorph in this dataset: 0 meV/atom
* uncorrected energy: -2.784 eV per atom
* formation energy without anion corrections: -1.95 eV per formula unit

=====

[3]
This record from Alexandria describes crystalline CsHoPuI6 at its relaxed geometry. The functional is PBE.

Cell lengths 8.0247, 8.0247, 8.7176 Å; angles 90.00, 90.00, 120.00 degrees
Last column: nearest neighbours and their distance in Å.
Fractional positions:
1 Cs 0.0000 0.0000 0.0000  6 I 3.90
2 Ho 0.6667 0.3333 0.5000  6 I 3.05
3 Pu 0.3333 0.6667 0.5000  6 I 3.20
4 I 0.3753 0.0152 0.7071  1 Ho 3.05, 1 Pu 3.20
5 I 0.3753 0.3601 0.2929  1 Ho 3.05, 1 Pu 3.20
6 I 0.6399 0.0152 0.2929  1 Ho 3.05, 1 Pu 3.20
7 I 0.6399 0.6247 0.7071  1 Ho 3.05, 1 Pu 3.20
8 I 0.9848 0.3601 0.7071  1 Ho 3.05, 1 Pu 3.20
9 I 0.9848 0.6247 0.2929  1 Ho 3.05, 1 Pu 3.20

Output
* uncorrected energy: -4.542 eV per atom
* formation energy without anion corrections: -11.82 eV per formula unit

=====

[4]
This record from Alexandria describes crystalline NiPt2Se at its relaxed geometry. The functional is PBE.

Cell lengths 4.6682, 4.6682, 2.9176 Å; angles 90.00, 90.00, 106.02 degrees
Last column: nearest neighbours and their distance in Å.
Fractional positions:
1 Ni 0.0000 0.0000 0.0000  8 Pt 2.75, 2 Se 2.81, 2 Ni 2.92
2 Pt 0.0000 0.5000 0.5000  4 Se 2.75, 4 Ni 2.75, 4 Pt 2.81-2.92
3 Pt 0.5000 0.0000 0.5000  4 Se 2.75, 4 Ni 2.75, 4 Pt 2.81-2.92
4 Se 0.5000 0.5000 0.0000  8 Pt 2.75, 2 Ni 2.81, 2 Se 2.92

Output
* uncorrected energy: -5.149 eV per atom
* formation energy without anion corrections: 0.75 eV per formula unit

=====

[5]
This record from Alexandria describes crystalline AcPr5Dy2 at its relaxed geometry. The functional is PBE.

Cell lengths 7.4099, 14.8219, 5.2246 Å; angles 90.00, 90.00, 90.00 degrees
Last column: nearest neighbours and their distance in Å.
Fractional positions:
1 Ac 0.0000 0.0000 0.0000  8 Pr 3.70-3.74, 4 Dy 3.72
2 Ac 0.5000 0.5000 0.0000  8 Pr 3.70-3.74, 4 Dy 3.72
3 Pr 0.0000 0.5000 0.0000  6 Pr 3.67-3.70, 2 Ac 3.70, 4 Dy 3.71
4 Pr 0.0009 0.2521 0.0000  7 Pr 3.66-3.71, 4 Dy 3.66-3.71, 1 Ac 3.74
5 Pr 0.2468 0.6268 0.5000  4 Dy 3.65-3.76, 6 Pr 3.66-3.71, 2 Ac 3.73
6 Pr 0.2532 0.1268 0.5000  4 Dy 3.65-3.76, 6 Pr 3.66-3.71, 2 Ac 3.73
7 Pr 0.4991 0.7521 0.0000  7 Pr 3.66-3.71, 4 Dy 3.66-3.71, 1 Ac 3.74
8 Pr 0.5000 0.0000 0.0000  6 Pr 3.67-3.70, 2 Ac 3.70, 4 Dy 3.71
9 Pr 0.5009 0.2479 0.0000  7 Pr 3.66-3.71, 4 Dy 3.66-3.71, 1 Ac 3.74
10 Pr 0.7468 0.8732 0.5000  4 Dy 3.65-3.76, 6 Pr 3.66-3.71, 2 Ac 3.73
11 Pr 0.7532 0.3732 0.5000  4 Dy 3.65-3.76, 6 Pr 3.66-3.71, 2 Ac 3.73
12 Pr 0.9991 0.7479 0.0000  7 Pr 3.66-3.71, 4 Dy 3.66-3.71, 1 Ac 3.74
13 Dy 0.2490 0.3731 0.5000  10 Pr 3.65-3.76, 2 Ac 3.72
14 Dy 0.2510 0.8731 0.5000  10 Pr 3.65-3.76, 2 Ac 3.72
15 Dy 0.7490 0.1269 0.5000  10 Pr 3.65-3.76, 2 Ac 3.72
16 Dy 0.7510 0.6269 0.5000  10 Pr 3.65-3.76, 2 Ac 3.72

Output
* uncorrected energy: -4.632 eV per atom
* formation enthalpy at 0 K: 0.02 eV/atom

=====

[6]
This record from Alexandria describes crystalline Sr4Ag2Ir at its relaxed geometry. The functional is PBE.

Cell lengths 8.9047, 8.9047, 8.9047 Å; angles 142.12, 142.12, 54.65 degrees
Last column: nearest neighbours and their distance in Å.
Fractional positions:
1 Sr 0.0000 0.5000 0.5000  2 Ir 2.89
2 Sr 0.1835 0.1835 0.0000  1 Ir 2.90, 1 Ag 3.24
3 Sr 0.5000 0.0000 0.5000  2 Ir 2.89
4 Sr 0.8165 0.8165 0.0000  1 Ir 2.90, 1 Ag 3.24
5 Ag 0.3882 0.3882 0.0000  5 Sr 3.24-3.39, 1 Ag 3.54
6 Ag 0.6118 0.6118 0.0000  5 Sr 3.24-3.39, 1 Ag 3.54
7 Ir 0.0000 0.0000 0.0000  6 Sr 2.89-2.90

Output
* uncorrected energy: -3.140 eV per atom
* formation enthalpy at 0 K: -0.10 eV/atom

=====

Computed values of DOS at the Fermi energy (unit: states/eV per atom) for the preceding records, in sequence: 0.4149 0.0000 2.1958 1.2633 1.3653 0.7971.